Record 1
Zr2Fe2Ag | GGA-PBE | optimized geometry

Calculated values
- spin magnetization (μB/f.u.) = 1.45
- E_tot (eV per cell) = -71.026
- calculated formation energy (eV per atom) = 0.27
- ΔE to the lowest computed polymorph (eV/atom) = 0.326

abc: 7.588 7.588 3.035
angles: 90.00 90.00 90.00
Element x y z (fractional)
Zr1 0.149 0.351 0.000
Zr2 0.351 0.851 0.000
Zr3 0.649 0.149 0.000
Zr4 0.851 0.649 0.000
Fe1 0.144 0.644 0.500
Fe2 0.356 0.144 0.500
Fe3 0.644 0.856 0.500
Fe4 0.856 0.356 0.500
Ag1 0.000 0.000 0.000
Ag2 0.500 0.500 0.000

Record 2
ZrFeAg | GGA-PBE | optimized geometry

Calculated values
- spin magnetization (μB/f.u.) = 2.67
- E_tot (eV per cell) = -18.900
- calculated formation energy (eV per atom) = 0.32
- ΔE to the lowest computed polymorph (eV/atom) = 0.218

abc: 3.023 3.023 6.837
angles: 90.00 90.00 120.00
Element x y z (fractional)
Zr1 0.000 0.000 0.000
Fe1 0.333 0.667 0.689
Ag1 0.667 0.333 0.373

Record 3
ZrFeAg2 | GGA-PBE | optimized geometry

Calculated values
- spin magnetization (μB/f.u.) = 2.85
- E_tot (eV per cell) = -21.463
- calculated formation energy (eV per atom) = 0.31
- ΔE to the lowest computed polymorph (eV/atom) = 0.202

abc: 9.796 9.796 9.796
angles: 17.14 17.14 17.14
Element x y z (fractional)
Zr1 0.000 0.000 0.000
Fe1 0.500 0.500 0.500
Ag1 0.243 0.243 0.243
Ag2 0.757 0.757 0.757

Record 4
Zr2FeAg | GGA-PBE | optimized geometry

Calculated values
- spin magnetization (μB/f.u.) = 0.52
- E_tot (eV per cell) = -28.118
- calculated formation energy (eV per atom) = 0.07
- ΔE to the lowest computed polymorph (eV/atom) = 0.179

abc: 5.707 5.707 5.707
angles: 147.01 132.23 59.28
Element x y z (fractional)
Zr1 0.000 0.000 0.000
Zr2 0.713 0.213 0.500
Fe1 0.508 0.508 0.000
Ag1 0.284 0.784 0.500

Record 5
Zr2FeAg | GGA-PBE | optimized geometry

Calculated values
- spin magnetization (μB/f.u.) = 2.06
- E_tot (eV per cell) = -28.145
- calculated formation energy (eV per atom) = 0.07
- ΔE to the lowest computed polymorph (eV/atom) = 0.173

abc: 3.379 3.379 6.610
angles: 90.00 90.00 90.00
Element x y z (fractional)
Zr1 0.000 0.000 0.000
Zr2 0.500 0.500 0.296
Fe1 0.500 0.500 0.797
Ag1 0.000 0.000 0.558

Record 6
ZrFe3Ag | GGA-PBE | optimized geometry

Calculated values
- spin magnetization (μB/f.u.) = 5.69
- E_tot (eV per cell) = -29.270
- calculated formation energy (eV per atom) = 1.50
- ΔE to the lowest computed polymorph (eV/atom) = 0.188

abc: 4.588 4.588 4.588
angles: 90.00 90.00 90.00
Element x y z (fractional)
Zr1 0.000 0.000 0.000
Fe1 0.000 0.000 0.500
Fe2 0.000 0.500 0.000
Fe3 0.500 0.000 0.000
Ag1 0.500 0.500 0.500

- Which formula does entry 5 have?
  Zr2FeAg

- Number 1 is which compound?
  Zr2Fe2Ag

- Among the records above, which one has the lowest ΔE to the lowest computed polymorph?
  number 5